P) The following is a PBE calculation of a relaxed MgFeS2N crystal, from Alexandria.

Calculated values
theoretical density = 3466 kg/m3

abc: 4.715 4.715 3.411
angles: 90.00 90.00 90.00
Fractional positions:
Mg: 0.000 0.000 0.000
Fe: 0.500 0.500 0.500
S: 0.000 0.500 0.500
S: 0.500 0.000 0.500
N: 0.500 0.500 0.000

---

Q) The following is a PBE calculation of a relaxed MgFeS2N crystal, from Alexandria.

Calculated values
theoretical density = 2866 kg/m3

abc: 4.839 4.839 3.916
angles: 90.00 90.00 90.00
Fractional positions:
Mg: 0.000 0.000 0.000
Fe: 0.500 0.500 0.500
S: 0.000 0.500 0.000
S: 0.500 0.000 0.000
N: 0.000 0.000 0.500

---

Stability, highest: P)

---

P) The following is a PBE calculation of a relaxed NaMg2Fe crystal, from Alexandria.

Calculated values
theoretical density = 2859 kg/m3

abc: 4.713 4.713 4.713
angles: 60.00 60.00 60.00
Fractional positions:
Na: 0.000 0.000 0.000
Mg: 0.250 0.250 0.250
Mg: 0.750 0.750 0.750
Fe: 0.500 0.500 0.500

---

Q) The following is a PBE calculation of a relaxed NaMg2Fe crystal, from Alexandria.

Calculated values
theoretical density = 2310 kg/m3

abc: 10.585 10.585 10.585
angles: 156.85 156.85 32.98
Fractional positions:
Na: 0.000 0.000 0.000
Na: 0.750 0.250 0.500
Mg: 0.147 0.625 0.022
Mg: 0.375 0.397 0.522
Mg: 0.603 0.125 0.978
Mg: 0.875 0.853 0.478
Fe: 0.250 0.750 0.500
Fe: 0.500 0.500 0.000

---

Stability, highest: P)